Entry from Alexandria via LeMat-Bulk: a relaxed structure of Na2CdAuO4 (PBE-GGA).

Summary:
- Crystal system: tetragonal
- Total DFT energy (no corrections): -61.12 eV/cell
- Calculated density: 5.93 g/cm³
- Density of states at the Fermi level: 12.005 states/eV/cell

Cell and atoms, written as CIF:
```
data_Na2CdAuO4
_cell_length_a 6.0877
_cell_length_b 6.0877
_cell_length_c 6.3339
_cell_angle_alpha 90.00
_cell_angle_beta 90.00
_cell_angle_gamma 90.00
_space_group_name_H-M_alt 'I -4 2 m'
_space_group_IT_number 121
_space_group_name_Hall 'I -4 2'
loop_
_atom_site_label
_atom_site_type_symbol
_atom_site_fract_x
_atom_site_fract_y
_atom_site_fract_z
Na1 Na 0.0000 0.5000 0.0000
Cd1 Cd 0.0000 0.0000 0.0000
Au1 Au 0.0000 0.0000 0.5000
O1 O 0.1679 0.1679 0.2669
```